--- A ---
Here is a geometry-optimized Ho2AuS structure from Alexandria. Energies are from PBE.

The value obtained for the calculated volume is 23.30 Å³ per atom. The calculation puts the total magnetization at 0.000 μB per atom.

It has space group R-3m (No. 166, hexagonal axes), with a = 3.8681 Å, b = 3.8681 Å, c = 21.5780 Å, α = 90.00°, β = 90.00° and γ = 120.00°. The asymmetric unit holds Ho at (0.0000, 0.0000, 0.2446), Au at (0.0000, 0.0000, 0.0000) and S at (0.0000, 0.0000, 0.5000).


--- B ---
Here is a geometry-optimized Ho2AuS structure from Alexandria. Energies are from PBE.

The value obtained for the calculated volume is 22.61 Å³ per atom. The calculation puts the total magnetization at 0.000 μB per atom.

It has space group Cmcm (No. 63), with a = 3.9200 Å, b = 22.5502 Å, c = 4.0932 Å, α = 90.00°, β = 90.00° and γ = 90.00°. The asymmetric unit holds Ho at (0.0000, 0.0717, 0.2500), Ho at (0.0000, 0.3136, 0.2500), Au at (0.0000, 0.4536, 0.2500) and S at (0.0000, 0.1932, 0.2500).


Energies relative to the most stable structure, in meV/atom: A 58; B 0.


--- A ---
Here is a geometry-optimized HoScAu structure from Alexandria. Energies are from PBE.

The value obtained for the calculated volume is 26.36 Å³ per atom. The calculation puts the total magnetization at 0.001 μB per atom.

It has space group F-43m (No. 216), with a = 6.8137 Å, b = 6.8137 Å, c = 6.8137 Å, α = 90.00°, β = 90.00° and γ = 90.00°. The asymmetric unit holds Ho at (0.0000, 0.0000, 0.0000), Sc at (0.0000, 0.0000, 0.5000) and Au at (0.2500, 0.2500, 0.7500).


--- B ---
Here is a geometry-optimized HoScAu structure from Alexandria. Energies are from PBE.

The value obtained for the calculated volume is 24.38 Å³ per atom. The calculation puts the total magnetization at 0.000 μB per atom.

It has space group P4/nmm (No. 129, origin choice 2), with a = 4.5336 Å, b = 4.5336 Å, c = 7.1175 Å, α = 90.00°, β = 90.00° and γ = 90.00°. The asymmetric unit holds Ho at (0.2500, 0.2500, 0.1343), Sc at (0.2500, 0.7500, 0.5000) and Au at (0.2500, 0.2500, 0.7362).


Energies relative to the most stable structure, in meV/atom: A 172; B 0.


--- A ---
Here is a geometry-optimized HoSc2Au structure from Alexandria. Energies are from PBE.

The value obtained for the calculated volume is 22.40 Å³ per atom. The calculation puts the total magnetization at 0.197 μB per atom.

It has space group Fm-3m (No. 225), with a = 7.1038 Å, b = 7.1038 Å, c = 7.1038 Å, α = 90.00°, β = 90.00° and γ = 90.00°. The asymmetric unit holds Ho at (0.0000, 0.0000, 0.0000), Sc at (0.2500, 0.2500, 0.2500) and Au at (0.0000, 0.0000, 0.5000).


--- B ---
Here is a geometry-optimized HoSc2Au structure from Alexandria. Energies are from PBE.

The value obtained for the calculated volume is 24.55 Å³ per atom. The calculation puts the total magnetization at 0.001 μB per atom.

It has space group Cmcm (No. 63), with a = 4.7140 Å, b = 11.0771 Å, c = 7.5234 Å, α = 90.00°, β = 90.00° and γ = 90.00°. The asymmetric unit holds Ho at (0.0000, 0.0548, 0.2500), Sc at (0.0000, 0.3523, 0.0439) and Au at (0.0000, 0.2089, 0.7500).


--- C ---
Here is a geometry-optimized HoSc2Au structure from Alexandria. Energies are from PBE.

The value obtained for the calculated volume is 25.17 Å³ per atom. The calculation puts the total magnetization at 0.107 μB per atom.

It has space group R3m (No. 160, hexagonal axes), with a = 3.5172 Å, b = 3.5172 Å, c = 28.1913 Å, α = 90.00°, β = 90.00° and γ = 120.00°. The asymmetric unit holds Ho at (0.0000, 0.0000, 0.0000), Sc at (0.0000, 0.0000, 0.5684), Sc at (0.0000, 0.0000, 0.7619) and Au at (0.0000, 0.0000, 0.1644).


--- D ---
Here is a geometry-optimized HoSc2Au structure from Alexandria. Energies are from PBE.

The value obtained for the calculated volume is 23.69 Å³ per atom. The calculation puts the total magnetization at 0.000 μB per atom.

It has space group P4/mmm (No. 123), with a = 3.4698 Å, b = 3.4698 Å, c = 7.8694 Å, α = 90.00°, β = 90.00° and γ = 90.00°. The asymmetric unit holds Ho at (0.0000, 0.0000, 0.0000), Sc at (0.5000, 0.5000, 0.2947) and Au at (0.0000, 0.0000, 0.5000).


Energies relative to the most stable structure, in meV/atom: A 269; B 0; C 194; D 70.


--- A ---
Here is a geometry-optimized HoScTlAu structure from Alexandria. Energies are from PBE.

The value obtained for the calculated volume is 23.21 Å³ per atom. The calculation puts the total magnetization at 0.000 μB per atom.

It has space group P4mm (No. 99), with a = 3.5256 Å, b = 3.5256 Å, c = 7.4696 Å, α = 90.00°, β = 90.00° and γ = 90.00°. The asymmetric unit holds Ho at (0.0000, 0.0000, 0.0000), Sc at (0.0000, 0.0000, 0.5419), Tl at (0.5000, 0.5000, 0.2849) and Au at (0.5000, 0.5000, 0.7487).


--- B ---
Here is a geometry-optimized HoScTlAu structure from Alexandria. Energies are from PBE.

The value obtained for the calculated volume is 23.32 Å³ per atom. The calculation puts the total magnetization at 0.001 μB per atom.

It has space group F-43m (No. 216), with a = 7.1989 Å, b = 7.1989 Å, c = 7.1989 Å, α = 90.00°, β = 90.00° and γ = 90.00°. The asymmetric unit holds Ho at (0.0000, 0.0000, 0.0000), Sc at (0.0000, 0.0000, 0.5000), Tl at (0.2500, 0.2500, 0.2500) and Au at (0.2500, 0.2500, 0.7500).


Energies relative to the most stable structure, in meV/atom: A 0; B 44.


--- A ---
Here is a geometry-optimized SmHo2Au2 structure from Alexandria. Energies are from PBE.

The value obtained for the calculated volume is 27.41 Å³ per atom. The calculation puts the total magnetization at 0.000 μB per atom.

It has space group P-3m1 (No. 164), with a = 5.0098 Å, b = 5.0098 Å, c = 6.3060 Å, α = 90.00°, β = 90.00° and γ = 120.00°. The asymmetric unit holds Sm at (0.0000, 0.0000, 0.0000), Ho at (0.3333, 0.6667, 0.6671) and Au at (0.3333, 0.6667, 0.2031).


--- B ---
Here is a geometry-optimized SmHo2Au2 structure from Alexandria. Energies are from PBE.

The value obtained for the calculated volume is 25.55 Å³ per atom. The calculation puts the total magnetization at 0.000 μB per atom.

It has space group P4/mbm (No. 127), with a = 8.2070 Å, b = 8.2070 Å, c = 3.7933 Å, α = 90.00°, β = 90.00° and γ = 90.00°. The asymmetric unit holds Sm at (0.0000, 0.0000, 0.0000), Ho at (0.1618, 0.3382, 0.5000) and Au at (0.1315, 0.6315, 0.0000).


Energies relative to the most stable structure, in meV/atom: A 88; B 0.


--- A ---
Here is a geometry-optimized SmHoAu structure from Alexandria. Energies are from PBE.

The value obtained for the calculated volume is 27.20 Å³ per atom. The calculation puts the total magnetization at 0.259 μB per atom.

It has space group I4mm (No. 107), with a = 3.6227 Å, b = 3.6227 Å, c = 12.4353 Å, α = 90.00°, β = 90.00° and γ = 90.00°. The asymmetric unit holds Sm at (0.0000, 0.0000, 0.0000), Ho at (0.0000, 0.0000, 0.2893) and Au at (0.0000, 0.0000, 0.6569).


--- B ---
Here is a geometry-optimized SmHoAu structure from Alexandria. Energies are from PBE.

The value obtained for the calculated volume is 29.73 Å³ per atom. The calculation puts the total magnetization at 0.000 μB per atom.

It has space group F-43m (No. 216), with a = 7.0921 Å, b = 7.0921 Å, c = 7.0921 Å, α = 90.00°, β = 90.00° and γ = 90.00°. The asymmetric unit holds Sm at (0.0000, 0.0000, 0.0000), Ho at (0.0000, 0.0000, 0.5000) and Au at (0.2500, 0.2500, 0.7500).


Energies relative to the most stable structure, in meV/atom: A 0; B 105.